1.
First-principles (PBE-GGA) data for crystalline SrTl3Pt at its relaxed geometry, as listed in Alexandria.

Results
energy: -9.14 eV for the cell shown
DOS(E_F): 7.2 states/eV/f.u.
energy above the lowest structure with this stoichiometry: 1.2403 eV per atom

Lattice parameters (Å, degrees): 6.089 6.089 6.089 90.00 90.00 90.00
Atoms (fractional coordinates):
Tl1 0.500 0.000 0.000
Tl2 0.000 0.500 0.000
Tl3 0.000 0.000 0.500
Pt1 0.500 0.500 0.500
Sr1 0.000 0.000 0.000

2.
First-principles (PBE-GGA) data for crystalline Sr2TlPt at its relaxed geometry, as listed in Alexandria.

Results
energy: -13.64 eV for the cell shown
DOS(E_F): 2.5 states/eV/f.u.
energy above the lowest structure with this stoichiometry: 0.1018 eV per atom

Lattice parameters (Å, degrees): 7.218 7.218 5.099 69.37 69.37 30.46
Atoms (fractional coordinates):
Sr1 0.947 0.947 0.053
Sr2 0.742 0.742 0.758
Tl1 0.566 0.566 0.434
Pt1 0.245 0.245 0.255

3.
First-principles (PBE-GGA) data for crystalline Sr11Tl9Pt4 at its relaxed geometry, as listed in Alexandria.

Results
energy: -76.40 eV for the cell shown
DOS(E_F): 16.2 states/eV/f.u.

Lattice parameters (Å, degrees): 4.061 14.157 14.157 114.15 90.00 90.00
Atoms (fractional coordinates):
Sr1 0.000 0.839 0.161
Sr2 0.000 0.422 0.084
Sr3 0.000 0.578 0.916
Sr4 0.000 0.000 0.000
Sr5 0.000 0.371 0.629
Sr6 0.000 0.084 0.422
Sr7 0.000 0.916 0.578
Sr8 0.000 0.629 0.371
Sr9 0.000 0.694 0.694
Sr10 0.000 0.161 0.839
Sr11 0.000 0.306 0.306
Tl1 0.500 0.926 0.779
Tl2 0.500 0.363 0.847
Tl3 0.500 0.074 0.221
Tl4 0.500 0.500 0.500
Tl5 0.500 0.221 0.074
Tl6 0.500 0.153 0.637
Tl7 0.500 0.637 0.153
Tl8 0.500 0.847 0.363
Tl9 0.500 0.779 0.926
Pt1 0.500 0.254 0.445
Pt2 0.500 0.555 0.746
Pt3 0.500 0.445 0.254
Pt4 0.500 0.746 0.555

4.
First-principles (PBE-GGA) data for crystalline SrTl2Pt2 at its relaxed geometry, as listed in Alexandria.

Results
energy: -39.56 eV for the cell shown
DOS(E_F): 3.1 states/eV/f.u.

Lattice parameters (Å, degrees): 7.789 7.789 3.924 90.00 90.00 90.00
Atoms (fractional coordinates):
Tl1 0.664 0.836 0.500
Tl2 0.836 0.336 0.500
Tl3 0.336 0.164 0.500
Tl4 0.164 0.664 0.500
Sr1 0.500 0.500 0.000
Sr2 0.000 0.000 0.000
Pt1 0.374 0.874 0.000
Pt2 0.874 0.626 0.000
Pt3 0.626 0.126 0.000
Pt4 0.126 0.374 0.000

5.
First-principles (PBE-GGA) data for crystalline SrTl2Pt at its relaxed geometry, as listed in Alexandria.

Results
energy: -13.47 eV for the cell shown
DOS(E_F): 1.5 states/eV/f.u.

Lattice parameters (Å, degrees): 5.181 5.181 5.181 60.00 60.00 60.00
Atoms (fractional coordinates):
Sr1 0.000 0.000 0.000
Pt1 0.500 0.500 0.500
Tl1 0.250 0.250 0.250
Tl2 0.750 0.750 0.750

6.
First-principles (PBE-GGA) data for crystalline SrTlPt2 at its relaxed geometry, as listed in Alexandria.

Results
energy: -17.13 eV for the cell shown
DOS(E_F): 2.4 states/eV/f.u.

Lattice parameters (Å, degrees): 3.628 3.628 7.226 90.00 90.00 90.00
Atoms (fractional coordinates):
Sr1 0.000 0.000 0.460
Tl1 0.500 0.500 0.801
Pt1 0.500 0.500 0.182
Pt2 0.000 0.000 0.057

7.
First-principles (PBE-GGA) data for crystalline SrTl2Pt at its relaxed geometry, as listed in Alexandria.

Results
energy: -13.98 eV for the cell shown
DOS(E_F): 1.8 states/eV/f.u.

Lattice parameters (Å, degrees): 3.989 4.561 6.792 70.11 90.00 90.00
Atoms (fractional coordinates):
Tl1 0.000 0.056 0.016
Tl2 0.500 0.440 0.243
Sr1 0.500 0.728 0.670
Pt1 0.000 0.277 0.571

8.
First-principles (PBE-GGA) data for crystalline Sr8TlPt2 at its relaxed geometry, as listed in Alexandria.

Results
energy: -32.50 eV for the cell shown
DOS(E_F): 8.6 states/eV/f.u.

Lattice parameters (Å, degrees): 6.208 8.646 8.646 111.47 97.23 97.23
Atoms (fractional coordinates):
Sr1 0.207 0.382 0.382
Sr2 0.585 0.334 0.065
Sr3 0.415 0.941 0.672
Sr4 0.585 0.065 0.334
Sr5 0.000 0.248 0.758
Sr6 0.792 0.624 0.624
Sr7 0.415 0.672 0.941
Sr8 0.000 0.758 0.248
Tl1 0.000 0.003 0.003
Pt1 0.500 0.317 0.689
Pt2 0.500 0.689 0.317

- Which of these has the highest energy?
  SrTl3Pt

- Which of these has the lowest energy?
  Sr11Tl9Pt4

What did the first record say?
First-principles (PBE-GGA) data for crystalline SrTl3Pt at its relaxed geometry, as listed in Alexandria.

Results
energy: -9.14 eV for the cell shown
DOS(E_F): 7.2 states/eV/f.u.
energy above the lowest structure with this stoichiometry: 1.2403 eV per atom

Lattice parameters (Å, degrees): 6.089 6.089 6.089 90.00 90.00 90.00
Atoms (fractional coordinates):
Tl1 0.500 0.000 0.000
Tl2 0.000 0.500 0.000
Tl3 0.000 0.000 0.500
Pt1 0.500 0.500 0.500
Sr1 0.000 0.000 0.000